(1)
Density functional theory data (PBE-GGA) for a geometry-optimized Zr3TiMo structure.

Cell lengths 5.0141, 5.0141, 5.0141 Å; angles 90.00, 90.00, 90.00 degrees
Last column: nearest neighbours and their distance in Å.
Fractional coordinates of all 5 atoms:
Mo1 0.0000 0.0000 0.0000  6 Zr 2.51
Zr1 0.0000 0.5000 0.0000  2 Mo 2.51
Zr2 0.0000 0.0000 0.5000  2 Mo 2.51
Zr3 0.5000 0.0000 0.0000  2 Mo 2.51
Ti1 0.5000 0.5000 0.5000  12 Zr 3.55

For the theoretical density, the calculation gives 5.50 g/cm³. Its space group is Pm-3m (221). The energy of formation comes out at 846.4 meV/atom. As for the size of the total moment: 0.00 μB/f.u. The calculation puts the relative energy among the computed polymorphs at 0 meV per atom.


(2)
Density functional theory data (PBE-GGA) for a geometry-optimized ZrTi2Mo structure.

Cell lengths 4.6372, 4.6372, 4.6372 Å; angles 60.00, 60.00, 60.00 degrees
Last column: nearest neighbours and their distance in Å.
Fractional coordinates of all 4 atoms:
Mo1 0.5000 0.5000 0.5000  8 Ti 2.84
Zr1 0.0000 0.0000 0.0000  8 Ti 2.84
Ti1 0.2500 0.2500 0.2500  4 Mo 2.84, 4 Zr 2.84
Ti2 0.7500 0.7500 0.7500  4 Mo 2.84, 4 Zr 2.84

For the theoretical density, the calculation gives 6.66 g/cm³. Its space group is Fm-3m (225). The energy of formation comes out at 70.4 meV/atom. As for the size of the total moment: 0.00 μB/f.u. The calculation puts the relative energy among the computed polymorphs at 110 meV per atom.


(3)
Density functional theory data (PBE-GGA) for a geometry-optimized ZrTi2Mo structure.

Cell lengths 3.2875, 4.6296, 4.6296 Å; angles 90.00, 90.00, 90.00 degrees
Last column: nearest neighbours and their distance in Å.
Fractional coordinates of all 4 atoms:
Mo1 0.5000 0.0000 0.0000  8 Ti 2.84
Zr1 0.5000 0.5000 0.5000  8 Ti 2.84
Ti1 0.0000 0.0000 0.5000  4 Zr 2.84, 4 Mo 2.84
Ti2 0.0000 0.5000 0.0000  4 Zr 2.84, 4 Mo 2.84

For the theoretical density, the calculation gives 6.67 g/cm³. Its space group is P4/mmm (123). The energy of formation comes out at 94.6 meV/atom. As for the size of the total moment: 0.00 μB/f.u. The calculation puts the relative energy among the computed polymorphs at 134 meV per atom.


(4)
Density functional theory data (PBE-GGA) for a geometry-optimized TlMo structure.

Cell lengths 11.8496, 11.8496, 3.2939 Å; angles 90.00, 90.00, 90.00 degrees
Last column: nearest neighbours and their distance in Å.
Fractional coordinates of all 16 atoms:
Tl1 0.4638 0.3025 0.0000  4 Mo 2.83-3.03
Tl2 0.5362 0.6975 0.0000  4 Mo 2.83-3.03
Tl3 0.6975 0.4638 0.0000  4 Mo 2.83-3.03
Tl4 0.3025 0.5362 0.0000  4 Mo 2.83-3.03
Tl5 0.9638 0.8025 0.5000  4 Mo 2.83-3.03
Tl6 0.0362 0.1975 0.5000  4 Mo 2.83-3.03
Tl7 0.1975 0.9638 0.5000  4 Mo 2.83-3.03
Tl8 0.8025 0.0362 0.5000  4 Mo 2.83-3.03
Mo1 0.3134 0.7834 0.0000  2 Mo 2.37
Mo2 0.6866 0.2166 0.0000  2 Mo 2.37
Mo3 0.2166 0.3134 0.0000  2 Mo 2.37
Mo4 0.7834 0.6866 0.0000  2 Mo 2.37
Mo5 0.8134 0.2834 0.5000  2 Mo 2.37
Mo6 0.1866 0.7166 0.5000  2 Mo 2.37
Mo7 0.7166 0.8134 0.5000  2 Mo 2.37
Mo8 0.2834 0.1866 0.5000  2 Mo 2.37

For the theoretical density, the calculation gives 8.63 g/cm³. Its space group is I4/m (87). The energy of formation comes out at 880.4 meV/atom. As for the size of the total moment: 0.00 μB/f.u. The calculation puts the relative energy among the computed polymorphs at 416 meV per atom.


(5)
Density functional theory data (PBE-GGA) for a geometry-optimized Tl3Mo structure.

Cell lengths 5.8082, 5.8082, 5.8082 Å; angles 90.00, 90.00, 90.00 degrees
Last column: nearest neighbours and their distance in Å.
Fractional coordinates of all 8 atoms:
Tl1 0.7500 0.5000 0.0000  2 Tl 2.90, 4 Mo 3.25
Tl2 0.2500 0.5000 0.0000  2 Tl 2.90, 4 Mo 3.25
Tl3 0.0000 0.7500 0.5000  2 Tl 2.90, 4 Mo 3.25
Tl4 0.0000 0.2500 0.5000  2 Tl 2.90, 4 Mo 3.25
Tl5 0.5000 0.0000 0.2500  2 Tl 2.90, 4 Mo 3.25
Tl6 0.5000 0.0000 0.7500  2 Tl 2.90, 4 Mo 3.25
Mo1 0.0000 0.0000 0.0000  12 Tl 3.25
Mo2 0.5000 0.5000 0.5000  12 Tl 3.25

For the theoretical density, the calculation gives 12.02 g/cm³. Its space group is Pm-3n (223). The energy of formation comes out at 854.3 meV/atom. As for the size of the total moment: 2.53 μB/f.u. The calculation puts the relative energy among the computed polymorphs at 451 meV per atom.


(6)
Density functional theory data (PBE-GGA) for a geometry-optimized TlMo structure.

Cell lengths 5.2512, 5.2512, 5.2512 Å; angles 132.65, 132.65, 69.21 degrees
Last column: nearest neighbours and their distance in Å.
Fractional coordinates of all 4 atoms:
Mo1 0.0000 0.0000 0.0000  8 Tl 2.98-3.02, 4 Mo 3.02
Mo2 0.2500 0.7500 0.5000  8 Tl 2.98-3.02, 4 Mo 3.02
Tl1 0.5000 0.5000 0.0000  8 Mo 2.98-3.02, 4 Tl 3.02
Tl2 0.7500 0.2500 0.5000  8 Mo 2.98-3.02, 4 Tl 3.02

For the theoretical density, the calculation gives 12.97 g/cm³. Its space group is I4_1/amd (141). The energy of formation comes out at 897.2 meV/atom. As for the size of the total moment: 0.00 μB/f.u. The calculation puts the relative energy among the computed polymorphs at 433 meV per atom.


(7)
Density functional theory data (PBE-GGA) for a geometry-optimized TlMo2 structure.

Cell lengths 5.3560, 5.3560, 5.3560 Å; angles 105.47, 105.47, 117.81 degrees
Last column: nearest neighbours and their distance in Å.
Fractional coordinates of all 6 atoms:
Tl1 0.2500 0.2500 0.0000  2 Tl 2.77, 8 Mo 2.92
Tl2 0.7500 0.7500 0.0000  2 Tl 2.77, 8 Mo 2.92
Mo1 0.8765 0.3765 0.2529  1 Mo 2.27
Mo2 0.1235 0.6235 0.7471  1 Mo 2.27
Mo3 0.3765 0.1235 0.5000  1 Mo 2.27
Mo4 0.6235 0.8765 0.5000  1 Mo 2.27

For the theoretical density, the calculation gives 11.31 g/cm³. Its space group is I4/mcm (140). The energy of formation comes out at 876.6 meV/atom. As for the size of the total moment: 0.00 μB/f.u. The calculation puts the relative energy among the computed polymorphs at 402 meV per atom.


(8)
Density functional theory data (PBE-GGA) for a geometry-optimized TlMo2 structure.

Cell lengths 4.7288, 4.7288, 5.5656 Å; angles 90.00, 90.00, 120.00 degrees
Last column: nearest neighbours and their distance in Å.
Fractional coordinates of all 6 atoms:
Tl1 0.6667 0.3333 0.2500  5 Mo 2.73-2.78
Tl2 0.3333 0.6667 0.7500  5 Mo 2.73-2.78
Mo1 0.0000 0.0000 0.0000  8 Mo 2.78-3.06, 6 Tl 3.06
Mo2 0.0000 0.0000 0.5000  8 Mo 2.78-3.06, 6 Tl 3.06
Mo3 0.3333 0.6667 0.2500  5 Tl 2.73-2.78
Mo4 0.6667 0.3333 0.7500  5 Tl 2.73-2.78

For the theoretical density, the calculation gives 12.21 g/cm³. Its space group is P6_3/mmc (194). The energy of formation comes out at 844.8 meV/atom. As for the size of the total moment: 0.38 μB/f.u. The calculation puts the relative energy among the computed polymorphs at 370 meV per atom.


Please write out number 3 again, unchanged.
Density functional theory data (PBE-GGA) for a geometry-optimized ZrTi2Mo structure.

Cell lengths 3.2875, 4.6296, 4.6296 Å; angles 90.00, 90.00, 90.00 degrees
Last column: nearest neighbours and their distance in Å.
Fractional coordinates of all 4 atoms:
Mo1 0.5000 0.0000 0.0000  8 Ti 2.84
Zr1 0.5000 0.5000 0.5000  8 Ti 2.84
Ti1 0.0000 0.0000 0.5000  4 Zr 2.84, 4 Mo 2.84
Ti2 0.0000 0.5000 0.0000  4 Zr 2.84, 4 Mo 2.84

For the theoretical density, the calculation gives 6.67 g/cm³. Its space group is P4/mmm (123). The energy of formation comes out at 94.6 meV/atom. As for the size of the total moment: 0.00 μB/f.u. The calculation puts the relative energy among the computed polymorphs at 134 meV per atom.


- Which of these has the highest energy of formation?
  number 6


Repeat the fourth record exactly.
Density functional theory data (PBE-GGA) for a geometry-optimized TlMo structure.

Cell lengths 11.8496, 11.8496, 3.2939 Å; angles 90.00, 90.00, 90.00 degrees
Last column: nearest neighbours and their distance in Å.
Fractional coordinates of all 16 atoms:
Tl1 0.4638 0.3025 0.0000  4 Mo 2.83-3.03
Tl2 0.5362 0.6975 0.0000  4 Mo 2.83-3.03
Tl3 0.6975 0.4638 0.0000  4 Mo 2.83-3.03
Tl4 0.3025 0.5362 0.0000  4 Mo 2.83-3.03
Tl5 0.9638 0.8025 0.5000  4 Mo 2.83-3.03
Tl6 0.0362 0.1975 0.5000  4 Mo 2.83-3.03
Tl7 0.1975 0.9638 0.5000  4 Mo 2.83-3.03
Tl8 0.8025 0.0362 0.5000  4 Mo 2.83-3.03
Mo1 0.3134 0.7834 0.0000  2 Mo 2.37
Mo2 0.6866 0.2166 0.0000  2 Mo 2.37
Mo3 0.2166 0.3134 0.0000  2 Mo 2.37
Mo4 0.7834 0.6866 0.0000  2 Mo 2.37
Mo5 0.8134 0.2834 0.5000  2 Mo 2.37
Mo6 0.1866 0.7166 0.5000  2 Mo 2.37
Mo7 0.7166 0.8134 0.5000  2 Mo 2.37
Mo8 0.2834 0.1866 0.5000  2 Mo 2.37

For the theoretical density, the calculation gives 8.63 g/cm³. Its space group is I4/m (87). The energy of formation comes out at 880.4 meV/atom. As for the size of the total moment: 0.00 μB/f.u. The calculation puts the relative energy among the computed polymorphs at 416 meV per atom.


Please write out number 5 again, unchanged.
Density functional theory data (PBE-GGA) for a geometry-optimized Tl3Mo structure.

Cell lengths 5.8082, 5.8082, 5.8082 Å; angles 90.00, 90.00, 90.00 degrees
Last column: nearest neighbours and their distance in Å.
Fractional coordinates of all 8 atoms:
Tl1 0.7500 0.5000 0.0000  2 Tl 2.90, 4 Mo 3.25
Tl2 0.2500 0.5000 0.0000  2 Tl 2.90, 4 Mo 3.25
Tl3 0.0000 0.7500 0.5000  2 Tl 2.90, 4 Mo 3.25
Tl4 0.0000 0.2500 0.5000  2 Tl 2.90, 4 Mo 3.25
Tl5 0.5000 0.0000 0.2500  2 Tl 2.90, 4 Mo 3.25
Tl6 0.5000 0.0000 0.7500  2 Tl 2.90, 4 Mo 3.25
Mo1 0.0000 0.0000 0.0000  12 Tl 3.25
Mo2 0.5000 0.5000 0.5000  12 Tl 3.25

For the theoretical density, the calculation gives 12.02 g/cm³. Its space group is Pm-3n (223). The energy of formation comes out at 854.3 meV/atom. As for the size of the total moment: 2.53 μB/f.u. The calculation puts the relative energy among the computed polymorphs at 451 meV per atom.